LiAlCu2: PBEsol geometry, SCAN.

Results
Theoretical density (Mg/m³): 5.43
Calculated formation energy (eV/atom): -0.2549
Total moment (μB per cell): 0.000

Unit cell a=4.168 b=4.168 c=2.832 alpha=90.00 beta=90.00 gamma=90.00
Space group P4/mmm (No. 123)
Symmetry-distinct sites (fractional):
Li 0.000 0.000 0.000 x1
Al 0.500 0.500 0.000 x1
Cu 0.000 0.500 0.500 x2